TbHo2In3NiGe2: relaxed, PBE.

Lattice parameters (Å, degrees): 4.233 12.674 7.309 90.00 90.00 90.00
Space group Amm2 (No. 38)
Asymmetric unit:
Tb1 0.000 0.000 0.000
Ho1 0.000 0.201 0.396
In1 0.500 0.000 0.357
In2 0.500 0.120 0.717
Ni1 0.000 0.000 0.596
Ge1 0.500 0.167 0.097

Values from the calculation:
Uncorrected energy   -84.44 eV/cell